No. 1
PmNd3Sm3: optimized geometry, GGA-PBE.

Energy of formation from the pure elements = 0.234 eV/atom
N(E_F) = 1.4415 states/eV per atom
Polymorph energy (0 for the lowest one) = 0.028 eV per atom

Lattice parameters (Å, degrees): 10.7565 10.7565 7.2747 90.00 90.00 120.00
Space group R3m (No. 160, hexagonal axes)
Unique sites:
Pm1 0.0000 0.0000 0.0000 x3
Nd1 0.0404 0.5202 0.4797 x9
Sm1 0.0887 0.5443 0.0204 x9

=====

No. 2
Ce2Si2Sn: optimized geometry, GGA-PBE.

Uncorrected formation energy = -3.2 eV/f.u.
N(E_F) = 1.7573 states/eV per atom

Lattice parameters (Å, degrees): 7.249 7.249 4.382 90.00 90.00 90.00
Space group P4/mbm (No. 127)
Unique sites:
Ce1 0.179 0.321 0.000 x4
Si1 0.115 0.615 0.500 x4
Sn1 0.000 0.000 0.500 x2

=====

No. 3
KAlIn2: optimized geometry, GGA-PBE.

Energy of formation from the pure elements = 0.209 eV/atom
N(E_F) = 0.6831 states/eV per atom

Lattice parameters (Å, degrees): 4.883 4.883 4.674 90.00 90.00 90.00
Space group P4/mmm (No. 123)
Unique sites:
K1 0.000 0.000 0.000 x1
Al1 0.500 0.500 0.000 x1
In1 0.000 0.500 0.500 x2